[1]
CaCrH2Ru GGA-PBE optimized geometry; E_tot = -5.026 eV/atom; total magnetic moment = 0.43 μB/atom
1.0
-3.186 0.099 -2.300
0.730 -4.390 -1.201
-2.216 -1.194 3.019
Ca Cr H Ru
1 1 2 1
Cartesian
-2.336 -2.742 -0.241
0.000 0.000 0.000
-1.108 -0.597 1.509
-1.593 0.050 -1.150
0.365 -2.195 -0.600

***

[2]
CaCrSiH2 GGA-PBE optimized geometry; E_tot = -3.706 eV/atom; total magnetic moment = 0.92 μB/atom
1.0
3.963 0.000 0.000
0.000 5.937 0.000
0.000 0.000 3.963
H Si Cr Ca
2 1 1 1
Cartesian
1.982 0.000 0.000
0.000 0.000 1.982
0.000 0.000 0.000
1.982 2.969 1.982
0.000 2.969 0.000

***

no.,Fermi-level density of states (states/eV per atom)
1,0.4627
2,0.5592